Record 1
Compound: AcLa6Sn
Source: Alexandria via LeMat-Bulk
Functional: PBE
Structure: optimized geometry

extended XYZ file:
```
8
Lattice="5.148 0.000 0.000 0.000 5.148 0.000 0.000 0.000 10.533" Properties=species:S:1:pos:R:3 pbc="T T T"
Ac 0.000 0.000 5.267
La 2.574 2.574 0.000
La 2.574 2.574 5.267
La 2.574 0.000 2.486
La 2.574 0.000 8.047
La 0.000 2.574 2.486
La 0.000 2.574 8.047
Sn 0.000 0.000 0.000
```

Output
The calculation puts the total magnetization at 0.00 μB/f.u. As for the formation energy: -0.216 eV/atom. Its space group is P4/mmm, No. 123.

Record 2
Compound: Ca8Mg3Hg2
Source: Alexandria via LeMat-Bulk
Functional: PBE
Structure: optimized geometry

extended XYZ file:
```
13
Lattice="5.758 0.000 0.000 0.000 7.847 -4.284 0.000 0.170 9.638" Properties=species:S:1:pos:R:3 pbc="T T T"
Ca 0.000 5.473 0.697
Ca 5.758 2.543 4.658
Ca 0.000 0.877 1.607
Ca 5.758 7.139 3.747
Ca 2.879 4.788 4.782
Ca 2.879 1.434 6.613
Ca 2.879 6.582 -1.259
Ca 2.879 3.229 0.572
Mg 2.879 0.000 0.000
Mg 0.000 2.574 -1.405
Mg 0.000 5.273 -2.879
Hg 2.879 1.836 3.364
Hg 2.879 6.180 1.991
```

Output
The calculation puts the total magnetization at 0.00 μB/f.u. As for the formation energy: -0.131 eV/atom. Its space group is Cmmm, No. 65.

Record 3
Compound: Th2AgPt9
Source: Alexandria via LeMat-Bulk
Functional: PBE
Structure: optimized geometry

extended XYZ file:
```
12
Lattice="-0.133 4.184 3.509 -4.455 0.876 3.037 1.779 -3.544 8.544" Properties=species:S:1:pos:R:3 pbc="T T T"
Th -3.268 2.972 9.085
Th 0.459 -1.457 6.005
Ag 0.000 0.000 0.000
Pt -1.288 -0.158 12.892
Pt -1.521 1.674 2.198
Pt -1.405 0.758 7.545
Pt -1.439 1.185 4.873
Pt -1.507 3.312 6.658
Pt -3.705 1.630 6.417
Pt -1.370 0.331 10.217
Pt 0.896 -0.115 8.673
Pt -1.302 -1.797 8.433
```

Output
The polymorph energy (0 for the lowest one) is 100 meV/atom. The calculation puts the total magnetization at 0.00 μB/f.u. As for the formation energy: -0.631 eV/atom. Its space group is R-3m, No. 166.

Record 4
Compound: TbNd5Zn4
Source: Alexandria via LeMat-Bulk
Functional: PBE
Structure: optimized geometry

extended XYZ file:
```
10
Lattice="-1.959 -2.946 -1.015 3.112 -1.785 -0.823 0.895 -6.972 18.511" Properties=species:S:1:pos:R:3 pbc="T T T"
Tb 0.000 0.000 0.000
Nd 0.691 -3.262 1.460
Nd 0.858 -4.556 4.897
Nd 1.024 -5.852 8.337
Nd 1.190 -7.147 11.776
Nd 1.356 -8.442 15.214
Zn 0.197 -1.535 4.075
Zn 0.364 -2.834 7.525
Zn 0.531 -4.138 10.986
Zn 0.698 -5.437 14.436
```

Output
The calculation puts the total magnetization at 0.00 μB/f.u. As for the formation energy: -0.241 eV/atom. Its space group is P4/mmm, No. 123.